MgSi7Ir3 | Alexandria | meta-GGA SCAN | single point on PBEsol structure; magnetization = 0.00 μB/f.u.; mass density = 8.2 g/cm³; energy relative to the elements, uncorrected = -56 kJ/mol of atoms; DFT total energy = -589.6 eV per cell; space-group type = R-3c (167)
1.0
7.509 0.000 0.000
3.755 6.503 0.000
3.755 2.168 6.633
Si Mg Ir
14 2 6
Direct
0.328 0.150 0.589 Si
0.672 0.850 0.411 Si
0.434 0.650 0.089 Si
0.250 0.250 0.250 Si
0.650 0.828 0.089 Si
0.828 0.434 0.089 Si
0.172 0.566 0.911 Si
0.750 0.750 0.750 Si
0.566 0.350 0.911 Si
0.350 0.172 0.911 Si
0.066 0.672 0.411 Si
0.934 0.328 0.589 Si
0.850 0.066 0.411 Si
0.150 0.934 0.589 Si
0.500 0.500 0.500 Mg
0.000 0.000 0.000 Mg
0.250 0.926 0.250 Ir
0.074 0.426 0.750 Ir
0.426 0.750 0.750 Ir
0.574 0.250 0.250 Ir
0.750 0.074 0.750 Ir
0.926 0.574 0.250 Ir